(1)
NbIrSN2: relaxed, GGA-PBE.

Properties
Polymorph energy (0 for the lowest one) = 0.0968 eV/atom
V = 16.01 A^3/atom
Total DFT energy (no corrections) = -0.255 hartree per atom
DOS at the Fermi energy = 5.71 states/eV/f.u.

Unit cell a=3.9217 b=3.9217 c=5.2058 alpha=90.00 beta=90.00 gamma=90.00
Last column: nearest neighbours and their distance in Å.
Positions (direct):
N1 0.5000 0.0000 0.0000  2 Nb 1.96
Ir1 0.5000 0.5000 0.5000  4 S 2.77
Nb1 0.0000 0.0000 0.0000  4 N 1.96
N2 0.0000 0.5000 0.0000  2 Nb 1.96
S1 0.0000 0.0000 0.5000  2 Nb 2.60, 4 Ir 2.77

---

(2)
Dy2NiHg: relaxed, GGA-PBE.

Properties
Polymorph energy (0 for the lowest one) = 0.1002 eV/atom
V = 25.25 A^3/atom
Formation energy from the elements = -0.3429 eV per atom
Total DFT energy (no corrections) = -0.153 hartree per atom
DOS at the Fermi energy = 3.22 states/eV/f.u.

Unit cell a=3.9088 b=3.9088 c=7.9589 alpha=75.78 beta=75.78 gamma=60.00
Last column: nearest neighbours and their distance in Å.
Positions (direct):
Dy1 0.2673 0.2673 0.1981  3 Ni 2.72
Ni1 0.0000 0.0000 0.0000  6 Dy 2.72
Hg1 0.5000 0.5000 0.5000  6 Dy 3.23
Dy2 0.7327 0.7327 0.8019  3 Ni 2.72

---

(3)
MgNi4H8: relaxed, GGA-PBE.

Properties
V = 8.25 A^3/atom
Total DFT energy (no corrections) = -0.148 hartree per atom
DOS at the Fermi energy = 3.03 states/eV/f.u.

Unit cell a=5.1686 b=5.1686 c=5.5123 alpha=90.00 beta=117.96 gamma=120.00
Last column: nearest neighbours and their distance in Å.
Positions (direct):
H1 0.5516 0.7758 0.8184  3 Ni 1.69-1.73
H2 0.9575 0.7333 0.1816  3 Ni 1.69-1.73
H3 0.4554 0.7277 0.1830  3 Ni 1.72
H4 0.0425 0.2667 0.8184  3 Ni 1.69-1.73
Ni1 0.0000 0.0000 0.0000  6 H 1.69
H5 0.9575 0.2242 0.1816  3 Ni 1.69-1.73
H6 0.5446 0.2723 0.8170  3 Ni 1.72
Ni2 0.0000 0.5000 0.0000  6 H 1.72-1.73
Ni3 0.5000 0.5000 0.0000  6 H 1.72-1.73
Mg1 0.0000 0.5000 0.5000  6 H 2.12
Ni4 0.5000 0.0000 0.0000  6 H 1.72-1.73
H7 0.0425 0.7758 0.8184  3 Ni 1.69-1.73
H8 0.4484 0.2242 0.1816  3 Ni 1.69-1.73

---

(4)
Li2Ho2Ga3: relaxed, GGA-PBE.

Properties
V = 20.21 A^3/atom
Formation energy from the elements = -0.4186 eV per atom
Total DFT energy (no corrections) = -0.131 hartree per atom
DOS at the Fermi energy = 6.86 states/eV/f.u.

Unit cell a=4.2437 b=7.0392 c=9.7053 alpha=90.00 beta=102.63 gamma=90.00
Last column: nearest neighbours and their distance in Å.
Positions (direct):
Ga1 0.4398 0.9306 0.8796  2 Ga 2.48-2.54, 1 Li 2.60
Ga2 0.5602 0.4306 0.1204  2 Ga 2.48-2.54, 1 Li 2.60
Li1 0.3114 0.4401 0.6229  4 Ga 2.60-2.73, 1 Li 2.68
Ho1 0.1533 0.2500 0.3066  6 Ga 3.04-3.13, 6 Li 3.12-3.28
Ga3 0.2250 0.7500 0.4499  6 Li 2.60-2.73
Ga4 0.7750 0.2500 0.5501  6 Li 2.60-2.73
Ho2 0.9465 0.2500 0.8930  9 Ga 3.09-3.28
Li2 0.6886 0.9401 0.3771  4 Ga 2.60-2.73, 1 Li 2.68
Ga5 0.5602 0.0694 0.1204  2 Ga 2.48-2.54, 1 Li 2.60
Ga6 0.4398 0.5694 0.8796  2 Ga 2.48-2.54, 1 Li 2.60
Ho3 0.8467 0.7500 0.6934  6 Ga 3.04-3.13, 6 Li 3.12-3.28
Li3 0.6886 0.5599 0.3771  4 Ga 2.60-2.73, 1 Li 2.68
Ho4 0.0535 0.7500 0.1070  9 Ga 3.09-3.28
Li4 0.3114 0.0599 0.6229  4 Ga 2.60-2.73, 1 Li 2.68

---

(5)
Bi3OsSe: relaxed, GGA-PBE.

Properties
Polymorph energy (0 for the lowest one) = 0.0000 eV/atom
V = 30.06 A^3/atom
Total DFT energy (no corrections) = -0.169 hartree per atom
DOS at the Fermi energy = 5.41 states/eV/f.u.

Unit cell a=5.3171 b=5.3171 c=5.3171 alpha=90.00 beta=90.00 gamma=90.00
Last column: nearest neighbours and their distance in Å.
Positions (direct):
Bi1 0.0000 0.0000 0.5000  2 Os 2.66
Se1 0.5000 0.5000 0.5000  12 Bi 3.76
Os1 0.0000 0.0000 0.0000  6 Bi 2.66
Bi2 0.0000 0.5000 0.0000  2 Os 2.66
Bi3 0.5000 0.0000 0.0000  2 Os 2.66

---

(6)
Pa2Fe3B12Mo: relaxed, GGA-PBE.

Properties
V = 10.79 A^3/atom
Formation energy from the elements = 0.1136 eV per atom
Total DFT energy (no corrections) = -0.272 hartree per atom
DOS at the Fermi energy = 9.22 states/eV/f.u.

Unit cell a=8.3443 b=8.3443 c=8.3443 alpha=37.62 beta=37.62 gamma=37.62
Last column: nearest neighbours and their distance in Å.
Positions (direct):
B1 0.9550 0.3256 0.9550  2 B 1.74
B2 0.3447 0.0208 0.3447  4 B 1.74
Fe1 0.0000 0.0000 0.5000  6 B 2.09-2.12
B3 0.3256 0.9550 0.9550  2 B 1.74
Pa1 0.6445 0.6445 0.6445  12 B 2.72-3.02
B4 0.0450 0.6744 0.0450  2 B 1.74
B5 0.6553 0.6553 0.9792  4 B 1.74
B6 0.6553 0.9792 0.6553  4 B 1.74
Fe2 0.0000 0.5000 0.0000  6 B 2.09-2.12
B7 0.0450 0.0450 0.6744  2 B 1.74
B8 0.9550 0.9550 0.3256  2 B 1.74
B9 0.3447 0.3447 0.0208  4 B 1.74
B10 0.6744 0.0450 0.0450  2 B 1.74
B11 0.9792 0.6553 0.6553  4 B 1.74
Fe3 0.5000 0.0000 0.0000  6 B 2.09-2.12
Mo1 0.0000 0.0000 0.0000  6 B 2.16
Pa2 0.3555 0.3555 0.3555  12 B 2.72-3.02
B12 0.0208 0.3447 0.3447  4 B 1.74

---

(7)
La3Pr6Er2: relaxed, GGA-PBE.

Properties
V = 35.44 A^3/atom
Formation energy from the elements = 0.0198 eV per atom
Total DFT energy (no corrections) = -0.175 hartree per atom
DOS at the Fermi energy = 19.64 states/eV/f.u.

Unit cell a=6.3820 b=9.7144 c=14.3078 alpha=63.80 beta=68.07 gamma=122.82
Last column: nearest neighbours and their distance in Å.
Positions (direct):
Er1 0.6375 0.4529 0.0894  7 Pr 3.61-3.70, 2 Er 3.65-3.67, 3 La 3.66-3.70
La1 0.4477 0.1758 0.6391  8 Pr 3.64-3.73, 2 Er 3.66-3.67, 2 La 3.69-3.74
Pr1 0.2808 0.9149 0.1805  2 Er 3.61-3.67, 5 Pr 3.64-3.75, 5 La 3.66-3.72
Pr2 0.7192 0.0851 0.8195  2 Er 3.61-3.67, 5 Pr 3.64-3.75, 5 La 3.66-3.72
Pr3 0.8205 0.7308 0.5459  6 Pr 3.61-3.75, 2 Er 3.68-3.70, 4 La 3.69-3.73
La2 0.0000 0.0000 0.0000  8 Pr 3.68-3.71, 2 La 3.69, 2 Er 3.70
Pr4 0.1795 0.2692 0.4541  6 Pr 3.61-3.75, 2 Er 3.68-3.70, 4 La 3.69-3.73
Er2 0.3625 0.5471 0.9106  7 Pr 3.61-3.70, 2 Er 3.65-3.67, 3 La 3.66-3.70
La3 0.5523 0.8242 0.3609  8 Pr 3.64-3.73, 2 Er 3.66-3.67, 2 La 3.69-3.74
Pr5 0.0814 0.6319 0.7317  3 Er 3.64-3.69, 3 La 3.64-3.73, 6 Pr 3.64-3.73
Pr6 0.9186 0.3681 0.2683  3 Er 3.64-3.69, 3 La 3.64-3.73, 6 Pr 3.64-3.73

---

(8)
Cs3US6: relaxed, GGA-PBE.

Properties
V = 41.46 A^3/atom
Total DFT energy (no corrections) = -0.173 hartree per atom
DOS at the Fermi energy = 0.68 states/eV/f.u.

Unit cell a=8.3697 b=8.3697 c=8.3697 alpha=60.00 beta=60.00 gamma=60.00
Last column: nearest neighbours and their distance in Å.
Positions (direct):
U1 0.0000 0.0000 0.0000  6 S 2.52
Cs1 0.2500 0.2500 0.2500  12 S 4.21
S1 0.2129 0.7871 0.2129  1 U 2.52
S2 0.7871 0.2129 0.2129  1 U 2.52
S3 0.2129 0.7871 0.7871  1 U 2.52
S4 0.2129 0.2129 0.7871  1 U 2.52
S5 0.7871 0.7871 0.2129  1 U 2.52
Cs2 0.5000 0.5000 0.5000  6 S 3.40
Cs3 0.7500 0.7500 0.7500  12 S 4.21
S6 0.7871 0.2129 0.7871  1 U 2.52

---

Magnetic moment values, unit μB/atom, following the record order: 0.445 0.000 0.000 0.000 0.000 0.307 0.000 0.295.